# PBE-GGA LaPr2GaBr3, relaxed
data_LaPr2GaBr3
_cell_length_a 6.072
_cell_length_b 6.072
_cell_length_c 6.091
_cell_angle_alpha 90.00
_cell_angle_beta 90.00
_cell_angle_gamma 90.00
_symmetry_space_group_name_H-M 'P 4/m m m'
_symmetry_Int_Tables_number 123
_symmetry_space_group_name_Hall '-P 4 2'
loop_
_atom_site_label
_atom_site_fract_x
_atom_site_fract_y
_atom_site_fract_z
La1 0.000 0.000 0.000
Pr1 0.000 0.500 0.500
Ga1 0.000 0.000 0.500
Br1 0.000 0.500 0.000
Br2 0.500 0.500 0.500
# Magnetic moment: 0.00 μB/cell
# Electronic total energy: -4.57 eV/atom
# Crystal system: tetragonal


# PBE-GGA LaSm2GaBr3, relaxed
data_LaSm2GaBr3
_cell_length_a 5.991
_cell_length_b 5.991
_cell_length_c 6.018
_cell_angle_alpha 90.00
_cell_angle_beta 90.00
_cell_angle_gamma 90.00
_symmetry_space_group_name_H-M 'P 4/m m m'
_symmetry_Int_Tables_number 123
_symmetry_space_group_name_Hall '-P 4 2'
loop_
_atom_site_label
_atom_site_fract_x
_atom_site_fract_y
_atom_site_fract_z
La1 0.000 0.000 0.000
Sm1 0.000 0.500 0.500
Ga1 0.000 0.000 0.500
Br1 0.000 0.500 0.000
Br2 0.500 0.500 0.500
# Magnetic moment: 0.00 μB/cell
# Electronic total energy: -4.53 eV/atom
# Crystal system: tetragonal


# PBE-GGA La2SmGaBr3, relaxed
data_La2SmGaBr3
_cell_length_a 6.081
_cell_length_b 6.081
_cell_length_c 6.051
_cell_angle_alpha 90.00
_cell_angle_beta 90.00
_cell_angle_gamma 90.00
_symmetry_space_group_name_H-M 'P 4/m m m'
_symmetry_Int_Tables_number 123
_symmetry_space_group_name_Hall '-P 4 2'
loop_
_atom_site_label
_atom_site_fract_x
_atom_site_fract_y
_atom_site_fract_z
La1 0.000 0.500 0.000
Sm1 0.000 0.000 0.500
Ga1 0.000 0.000 0.000
Br1 0.000 0.500 0.500
Br2 0.500 0.500 0.000
# Magnetic moment: 0.00 μB/cell
# Electronic total energy: -4.59 eV/atom
# Crystal system: tetragonal


# PBE-GGA Ga2MoBr, relaxed
data_Ga2MoBr
_cell_length_a 3.2546
_cell_length_b 3.2546
_cell_length_c 8.6297
_cell_angle_alpha 90.00
_cell_angle_beta 90.00
_cell_angle_gamma 120.00
_symmetry_space_group_name_H-M 'P 3 m 1'
_symmetry_Int_Tables_number 156
_symmetry_space_group_name_Hall 'P 3 -2"'
loop_
_atom_site_label
_atom_site_fract_x
_atom_site_fract_y
_atom_site_fract_z
Ga1 0.0000 0.0000 0.0000
Ga2 0.3333 0.6667 0.5063
Mo1 0.0000 0.0000 0.7124
Br1 0.6667 0.3333 0.2354
# Magnetic moment: 0.81 μB/cell
# Electronic total energy: -4.25 eV/atom
# Crystal system: trigonal


Q: Which value of electronic total energy does entry 2 give?
A: -4.53 eV/atom